P:
# Li3AlB2O6 (PBE, relaxed)
# - Total moment: 0.0 μB per formula unit
data_Li3AlB2O6
_space_group_name_H-M_alt 'P -1'
_space_group_IT_number 2
_cell_length_a 5.276
_cell_length_b 6.843
_cell_length_c 8.243
_cell_angle_alpha 108.66
_cell_angle_beta 90.85
_cell_angle_gamma 90.10
loop_
_space_group_symop_operation_xyz
'x,y,z'
'-x,-y,-z'
loop_
_atom_site_label
_atom_site_fract_x
_atom_site_fract_y
_atom_site_fract_z
Li1 0.045 0.302 0.303
Li2 0.244 0.380 0.765
Li3 0.315 0.598 0.119
Al1 0.427 0.996 0.732
B1 0.238 0.743 0.418
B2 0.411 0.230 0.070
O1 0.086 0.592 0.314
O2 0.201 0.831 0.592
O3 0.275 0.166 0.914
O4 0.341 0.143 0.197
O5 0.406 0.623 0.900
O6 0.448 0.809 0.344

Q:
# Li3AlB2O6 (PBE, relaxed)
# - Total moment: 0.0 μB per formula unit
data_Li3AlB2O6
_space_group_name_H-M_alt 'P -1'
_space_group_IT_number 2
_cell_length_a 4.918
_cell_length_b 6.326
_cell_length_c 8.044
_cell_angle_alpha 73.49
_cell_angle_beta 89.07
_cell_angle_gamma 89.13
loop_
_space_group_symop_operation_xyz
'x,y,z'
'-x,-y,-z'
loop_
_atom_site_label
_atom_site_fract_x
_atom_site_fract_y
_atom_site_fract_z
Li1 0.170 0.263 0.389
Li2 0.177 0.969 0.738
Li3 0.319 0.102 0.071
Al1 0.350 0.444 0.725
B1 0.165 0.676 0.093
B2 0.342 0.821 0.430
O1 0.119 0.337 0.894
O2 0.212 0.992 0.321
O3 0.227 0.704 0.591
O4 0.290 0.840 0.970
O5 0.313 0.518 0.218
O6 0.388 0.243 0.605

Q is the most stable structure; the next one sits 0.083 eV/atom above it.

P:
# MgAlB3 (PBE, relaxed)
# - Total moment: 0.0 μB per formula unit
data_MgAlB3
_space_group_name_H-M_alt 'P m -3 m'
_space_group_IT_number 221
_space_group_name_Hall '-P 4 2 3'
_cell_length_a 4.284
_cell_length_b 4.284
_cell_length_c 4.284
_cell_angle_alpha 90.00
_cell_angle_beta 90.00
_cell_angle_gamma 90.00
loop_
_atom_site_label
_atom_site_fract_x
_atom_site_fract_y
_atom_site_fract_z
Mg1 0.000 0.000 0.000
Al1 0.500 0.500 0.500
B1 0.000 0.000 0.500

Q:
# MgAlB3 (PBE, relaxed)
# - Total moment: 0.0 μB per formula unit
data_MgAlB3
_space_group_name_H-M_alt 'P m -3 m'
_space_group_IT_number 221
_space_group_name_Hall '-P 4 2 3'
_cell_length_a 4.152
_cell_length_b 4.152
_cell_length_c 4.152
_cell_angle_alpha 90.00
_cell_angle_beta 90.00
_cell_angle_gamma 90.00
loop_
_atom_site_label
_atom_site_fract_x
_atom_site_fract_y
_atom_site_fract_z
Mg1 0.000 0.000 0.000
Al1 0.500 0.500 0.500
B1 0.000 0.500 0.500

Q is the most stable structure; the next one sits 0.694 eV/atom above it.

P:
# MgAl2B28 (PBE, relaxed)
# - Total moment: 0.0 μB per formula unit
data_MgAl2B28
_space_group_name_H-M_alt 'C 1 m 1'
_space_group_IT_number 8
_cell_length_a 9.933
_cell_length_b 10.253
_cell_length_c 5.888
_cell_angle_alpha 90.00
_cell_angle_beta 125.78
_cell_angle_gamma 90.00
loop_
_space_group_symop_operation_xyz
'x,y,z'
'x,-y,z'
'x+1/2,y+1/2,z'
'x+1/2,-y+1/2,z'
loop_
_atom_site_label
_atom_site_fract_x
_atom_site_fract_y
_atom_site_fract_z
Mg1 0.000 0.000 0.000
Al1 0.227 0.500 0.147
Al2 0.386 0.000 0.201
B1 0.016 0.400 0.078
B2 0.083 0.327 0.891
B3 0.090 0.328 0.402
B4 0.110 0.083 0.670
B5 0.158 0.415 0.718
B6 0.180 0.170 0.990
B7 0.182 0.168 0.493
B8 0.255 0.097 0.320
B9 0.297 0.312 0.013
B10 0.298 0.313 0.702
B11 0.310 0.162 0.866
B12 0.455 0.165 0.520
B13 0.469 0.315 0.687
B14 0.471 0.315 0.379

Q:
# MgAl2B28 (PBE, relaxed)
# - Total moment: 0.0 μB per formula unit
data_MgAl2B28
_space_group_name_H-M_alt 'P 1'
_space_group_IT_number 1
_cell_length_a 7.173
_cell_length_b 7.174
_cell_length_c 10.956
_cell_angle_alpha 101.39
_cell_angle_beta 102.48
_cell_angle_gamma 111.43
loop_
_space_group_symop_operation_xyz
'x,y,z'
loop_
_atom_site_label
_atom_site_fract_x
_atom_site_fract_y
_atom_site_fract_z
Mg1 0.000 0.000 0.000
Mg2 0.493 0.203 0.284
Al1 0.015 0.621 0.392
Al2 0.296 0.642 0.658
Al3 0.725 0.592 0.129
Al4 0.958 0.260 0.703
B1 0.041 0.525 0.187
B2 0.044 0.385 0.034
B3 0.045 0.647 0.059
B4 0.118 0.975 0.312
B5 0.122 0.213 0.284
B6 0.126 0.989 0.479
B7 0.133 0.371 0.437
B8 0.136 0.236 0.556
B9 0.198 0.574 0.819
B10 0.202 0.806 0.228
B11 0.204 0.386 0.192
B12 0.211 0.843 0.570
B13 0.215 0.576 0.979
B14 0.232 0.011 0.846
B15 0.279 0.214 0.441
B16 0.295 0.381 0.722
B17 0.298 0.648 0.310
B18 0.307 0.837 0.096
B19 0.311 0.419 0.059
B20 0.312 0.642 0.470
B21 0.373 0.850 0.855
B22 0.375 0.990 0.731
B23 0.386 0.239 0.809
B24 0.388 0.011 0.005
B25 0.395 0.251 0.975
B26 0.463 0.578 0.228
B27 0.467 0.837 0.253
B28 0.470 0.701 0.098
B29 0.536 0.518 0.688
B30 0.541 0.385 0.533
B31 0.547 0.646 0.559
B32 0.613 0.968 0.812
B33 0.623 0.981 0.979
B34 0.626 0.208 0.784
B35 0.633 0.233 0.056
B36 0.636 0.371 0.933
B37 0.696 0.801 0.728
B38 0.698 0.384 0.690
B39 0.701 0.581 0.318
B40 0.709 0.836 0.066
B41 0.715 0.579 0.479
B42 0.729 0.008 0.345
B43 0.779 0.210 0.942
B44 0.791 0.643 0.809
B45 0.799 0.381 0.219
B46 0.806 0.417 0.559
B47 0.806 0.642 0.968
B48 0.810 0.842 0.600
B49 0.875 0.854 0.350
B50 0.876 0.985 0.227
B51 0.885 0.234 0.308
B52 0.887 0.010 0.503
B53 0.890 0.247 0.475
B54 0.962 0.580 0.729
B55 0.966 0.839 0.755
B56 0.971 0.699 0.601

Q is the most stable structure; the next one sits 0.022 eV/atom above it.

P:
# MgAlB4 (PBE, relaxed)
# - Total moment: 0.0 μB per formula unit
data_MgAlB4
_space_group_name_H-M_alt 'P 6/m m m'
_space_group_IT_number 191
_space_group_name_Hall '-P 6 2'
_cell_length_a 3.0418
_cell_length_b 3.0418
_cell_length_c 6.7338
_cell_angle_alpha 90.00
_cell_angle_beta 90.00
_cell_angle_gamma 120.00
loop_
_atom_site_label
_atom_site_fract_x
_atom_site_fract_y
_atom_site_fract_z
Mg1 0.0000 0.0000 0.0000
Al1 0.0000 0.0000 0.5000
B1 0.3333 0.6667 0.2663

Q:
# MgAlB4 (PBE, relaxed)
# - Total moment: 0.0 μB per formula unit
data_MgAlB4
_space_group_name_H-M_alt 'I -4 m 2'
_space_group_IT_number 119
_space_group_name_Hall 'I -4 -2'
_cell_length_a 3.171
_cell_length_b 3.171
_cell_length_c 10.577
_cell_angle_alpha 90.00
_cell_angle_beta 90.00
_cell_angle_gamma 90.00
loop_
_atom_site_label
_atom_site_fract_x
_atom_site_fract_y
_atom_site_fract_z
Mg1 0.000 0.000 0.000
Al1 0.000 0.500 0.750
B1 0.000 0.000 0.413
B2 0.000 0.500 0.167

P is the most stable structure; the next one sits 0.177 eV/atom above it.

P:
# MgAlB2 (PBE, relaxed)
# - Total moment: 0.0 μB per formula unit
data_MgAlB2
_space_group_name_H-M_alt 'I -4 2 d'
_space_group_IT_number 122
_space_group_name_Hall 'I -4 2bw'
_cell_length_a 3.975
_cell_length_b 3.975
_cell_length_c 14.201
_cell_angle_alpha 90.00
_cell_angle_beta 90.00
_cell_angle_gamma 90.00
loop_
_atom_site_label
_atom_site_fract_x
_atom_site_fract_y
_atom_site_fract_z
Mg1 0.000 0.000 0.000
Al1 0.000 0.000 0.500
B1 0.083 0.250 0.625

Q:
# MgAlB2 (PBE, relaxed)
# - Total moment: 0.0 μB per formula unit
data_MgAlB2
_space_group_name_H-M_alt 'F m -3 m'
_space_group_IT_number 225
_space_group_name_Hall '-F 4 2 3'
_cell_length_a 5.630
_cell_length_b 5.630
_cell_length_c 5.630
_cell_angle_alpha 90.00
_cell_angle_beta 90.00
_cell_angle_gamma 90.00
loop_
_atom_site_label
_atom_site_fract_x
_atom_site_fract_y
_atom_site_fract_z
Mg1 0.000 0.000 0.000
Al1 0.000 0.000 0.500
B1 0.250 0.250 0.250

P is the most stable structure; the next one sits 0.058 eV/atom above it.

P:
# MnAlB3 (PBE, relaxed)
# - Total moment: 0.1 μB per formula unit
data_MnAlB3
_space_group_name_H-M_alt 'P m -3 m'
_space_group_IT_number 221
_space_group_name_Hall '-P 4 2 3'
_cell_length_a 3.994
_cell_length_b 3.994
_cell_length_c 3.994
_cell_angle_alpha 90.00
_cell_angle_beta 90.00
_cell_angle_gamma 90.00
loop_
_atom_site_label
_atom_site_fract_x
_atom_site_fract_y
_atom_site_fract_z
Mn1 0.000 0.000 0.000
Al1 0.500 0.500 0.500
B1 0.000 0.500 0.500

Q:
# MnAlB3 (PBE, relaxed)
# - Total moment: 0.0 μB per formula unit
data_MnAlB3
_space_group_name_H-M_alt 'P m -3 m'
_space_group_IT_number 221
_space_group_name_Hall '-P 4 2 3'
_cell_length_a 3.808
_cell_length_b 3.808
_cell_length_c 3.808
_cell_angle_alpha 90.00
_cell_angle_beta 90.00
_cell_angle_gamma 90.00
loop_
_atom_site_label
_atom_site_fract_x
_atom_site_fract_y
_atom_site_fract_z
Mn1 0.000 0.000 0.000
Al1 0.500 0.500 0.500
B1 0.000 0.000 0.500

Q is the most stable structure; the next one sits 1.320 eV/atom above it.

P:
# Al3BMo (PBE, relaxed)
# - Total moment: 0.0 μB per formula unit
data_Al3BMo
_space_group_name_H-M_alt 'P m -3 m'
_space_group_IT_number 221
_space_group_name_Hall '-P 4 2 3'
_cell_length_a 4.149
_cell_length_b 4.149
_cell_length_c 4.149
_cell_angle_alpha 90.00
_cell_angle_beta 90.00
_cell_angle_gamma 90.00
loop_
_atom_site_label
_atom_site_fract_x
_atom_site_fract_y
_atom_site_fract_z
Al1 0.000 0.000 0.500
B1 0.000 0.000 0.000
Mo1 0.500 0.500 0.500

Q:
# Al3BMo (PBE, relaxed)
# - Total moment: 0.0 μB per formula unit
data_Al3BMo
_space_group_name_H-M_alt 'P m -3 m'
_space_group_IT_number 221
_space_group_name_Hall '-P 4 2 3'
_cell_length_a 4.836
_cell_length_b 4.836
_cell_length_c 4.836
_cell_angle_alpha 90.00
_cell_angle_beta 90.00
_cell_angle_gamma 90.00
loop_
_atom_site_label
_atom_site_fract_x
_atom_site_fract_y
_atom_site_fract_z
Al1 0.000 0.000 0.500
B1 0.500 0.500 0.500
Mo1 0.000 0.000 0.000

P is the most stable structure; the next one sits 0.849 eV/atom above it.

P:
# AlReB2Mo (PBE, relaxed)
# - Total moment: 1.2 μB per formula unit
data_AlReB2Mo
_space_group_name_H-M_alt 'P 4/m m m'
_space_group_IT_number 123
_space_group_name_Hall '-P 4 2'
_cell_length_a 4.020
_cell_length_b 4.020
_cell_length_c 4.621
_cell_angle_alpha 90.00
_cell_angle_beta 90.00
_cell_angle_gamma 90.00
loop_
_atom_site_label
_atom_site_fract_x
_atom_site_fract_y
_atom_site_fract_z
Al1 0.000 0.000 0.000
Re1 0.500 0.500 0.000
B1 0.000 0.500 0.500
Mo1 0.000 0.000 0.500

Q:
# AlReB2Mo (PBE, relaxed)
# - Total moment: 0.0 μB per formula unit
data_AlReB2Mo
_space_group_name_H-M_alt 'P 4/m m m'
_space_group_IT_number 123
_space_group_name_Hall '-P 4 2'
_cell_length_a 3.936
_cell_length_b 3.936
_cell_length_c 4.684
_cell_angle_alpha 90.00
_cell_angle_beta 90.00
_cell_angle_gamma 90.00
loop_
_atom_site_label
_atom_site_fract_x
_atom_site_fract_y
_atom_site_fract_z
Al1 0.000 0.000 0.000
Re1 0.000 0.000 0.500
B1 0.000 0.500 0.000
Mo1 0.500 0.500 0.500

P is the most stable structure; the next one sits 0.250 eV/atom above it.